(1)
VASP calculation (PBE) on RbCeNiS4 after structural relaxation.

Values from the calculation:
space group: P2_1/m
total magnetization: 1.52 μB per formula unit
theoretical density: 3.973 Mg/m³
raw total energy: -5.2649 eV per atom
uncorrected formation energy: -7.66 eV per formula unit

abc: 6.776 5.669 9.300
angles: 90.00 105.17 90.00
Site moments in Bohr magnetons follow the coordinates.
Sites, in units of the cell vectors:
Ni: 0.233 0.750 0.328  0.75
Ni: 0.767 0.250 0.672  0.75
Ce: 0.262 0.250 0.552  0.11
Ce: 0.738 0.750 0.448  0.11
S: 0.449 0.750 0.189  0.12
S: 0.400 0.750 0.566  0.12
S: 0.010 0.512 0.703  0.06
S: 0.990 0.488 0.297  0.06
S: 0.010 0.988 0.703  0.06
S: 0.600 0.250 0.434  0.12
S: 0.990 0.012 0.297  0.06
S: 0.551 0.250 0.811  0.12
Rb: 0.255 0.250 0.048  0.00
Rb: 0.745 0.750 0.952  0.00


(2)
VASP calculation (PBE) on Rb4Ce3NiS8 after structural relaxation.

Values from the calculation:
space group: C2/m
total magnetization: 1.94 μB per formula unit
theoretical density: 3.981 Mg/m³
raw total energy: -5.2028 eV per atom
uncorrected formation energy: -22.77 eV per formula unit

abc: 8.101 8.989 8.308
angles: 117.31 119.18 90.00
Site moments in Bohr magnetons follow the coordinates.
Sites, in units of the cell vectors:
S: 0.749 0.676 0.958  0.04
S: 0.209 0.676 0.958  0.04
S: 0.752 0.295 0.505  0.01
S: 0.248 0.705 0.495  0.01
S: 0.270 0.302 0.540  -0.01
S: 0.251 0.324 0.042  0.04
S: 0.730 0.698 0.460  -0.01
S: 0.791 0.324 0.042  0.04
Ce: 0.000 0.500 0.500  0.54
Ce: 0.500 0.500 0.000  -0.59
Ce: 0.500 0.500 0.500  0.54
Rb: 0.000 0.000 0.500  0.00
Rb: 0.000 0.000 0.000  0.00
Rb: 0.500 0.000 0.000  0.01
Rb: 0.500 0.000 0.500  0.00
Ni: 0.000 0.500 0.000  1.12


(3)
VASP calculation (PBE) on Rb3Ce3NiS8 after structural relaxation.

Values from the calculation:
space group: R-3m
total magnetization: 3.11 μB per formula unit
theoretical density: 3.749 Mg/m³
raw total energy: -5.3852 eV per atom
uncorrected formation energy: -21.27 eV per formula unit

abc: 8.077 8.076 9.068
angles: 116.43 90.00 120.00
Site moments in Bohr magnetons follow the coordinates.
Sites, in units of the cell vectors:
S: 0.215 0.430 0.676  0.04
S: 0.746 0.961 0.676  0.04
S: 0.785 0.039 0.324  0.04
S: 0.268 0.535 0.303  -0.01
S: 0.215 0.961 0.676  0.04
S: 0.254 0.039 0.324  0.04
S: 0.785 0.570 0.324  0.04
S: 0.732 0.465 0.697  -0.01
Ce: 0.000 0.500 0.500  0.45
Ce: 0.500 0.500 0.500  0.45
Ce: 0.500 0.000 0.500  0.45
Rb: 0.500 0.500 0.000  0.00
Rb: 0.000 0.000 0.000  0.00
Rb: 0.000 0.500 0.000  0.00
Ni: 0.000 0.000 0.500  1.24


(4)
VASP calculation (PBE) on Rb2Ce2NiS6 after structural relaxation.

Values from the calculation:
space group: C2/m
total magnetization: 2.27 μB per formula unit
theoretical density: 3.713 Mg/m³
raw total energy: -5.3251 eV per atom
uncorrected formation energy: -14.23 eV per formula unit

abc: 6.783 6.783 8.175
angles: 98.12 98.12 119.53
Site moments in Bohr magnetons follow the coordinates.
Sites, in units of the cell vectors:
S: 0.939 0.625 0.318  0.05
S: 0.625 0.939 0.318  0.05
S: 0.061 0.375 0.682  0.05
S: 0.243 0.243 0.324  0.05
S: 0.375 0.061 0.682  0.05
S: 0.757 0.757 0.676  0.05
Rb: 0.168 0.832 0.000  0.00
Rb: 0.832 0.168 0.000  0.00
Ce: 0.333 0.667 0.500  0.25
Ce: 0.667 0.333 0.500  0.25
Ni: 0.000 0.000 0.500  1.20


(5)
VASP calculation (PBE) on RbCe2Ni2S6 after structural relaxation.

Values from the calculation:
space group: P-1
total magnetization: 0.00 μB per formula unit
theoretical density: 4.489 Mg/m³
raw total energy: -5.6508 eV per atom
uncorrected formation energy: -13.00 eV per formula unit

abc: 7.510 7.837 7.190
angles: 115.27 107.93 40.79
Sites, in units of the cell vectors:
S: 0.264 0.822 0.641
S: 0.736 0.178 0.359
S: 0.668 0.216 0.906
S: 0.021 0.401 0.186
S: 0.332 0.784 0.094
S: 0.979 0.599 0.814
Ni: 0.087 0.799 0.822
Ni: 0.913 0.201 0.178
Ce: 0.207 0.598 0.208
Ce: 0.793 0.402 0.792
Rb: 0.500 0.000 0.500


(6)
VASP calculation (PBE) on RbCe2NiS5 after structural relaxation.

Values from the calculation:
space group: Immm
total magnetization: 0.06 μB per formula unit
theoretical density: 4.626 Mg/m³
raw total energy: -5.8102 eV per atom
uncorrected formation energy: -13.04 eV per formula unit

abc: 4.442 7.027 7.905
angles: 116.39 106.32 90.00
Site moments in Bohr magnetons follow the coordinates.
Sites, in units of the cell vectors:
Ce: 0.801 0.801 0.602  0.28
Ce: 0.199 0.199 0.398  0.28
S: 0.353 0.089 0.707  -0.03
S: 0.353 0.618 0.707  -0.03
S: 0.000 0.000 0.000  -0.02
S: 0.647 0.911 0.293  -0.03
S: 0.647 0.382 0.293  -0.03
Rb: 0.000 0.500 0.000  0.00
Ni: 0.500 0.000 0.000  -0.33


(7)
VASP calculation (PBE) on RbCeNiSe4 after structural relaxation.

Values from the calculation:
space group: P2_1/m
total magnetization: 1.33 μB per formula unit
theoretical density: 5.096 Mg/m³
raw total energy: -4.8298 eV per atom
uncorrected formation energy: -7.19 eV per formula unit

abc: 7.108 5.887 9.685
angles: 90.00 105.17 90.00
Site moments in Bohr magnetons follow the coordinates.
Sites, in units of the cell vectors:
Se: 0.012 0.993 0.705  0.05
Se: 0.545 0.250 0.816  0.11
Se: 0.988 0.007 0.295  0.05
Se: 0.597 0.250 0.425  0.09
Se: 0.988 0.493 0.295  0.05
Se: 0.403 0.750 0.575  0.09
Se: 0.455 0.750 0.184  0.11
Se: 0.012 0.507 0.705  0.05
Ce: 0.264 0.250 0.550  0.12
Ce: 0.736 0.750 0.450  0.12
Ni: 0.246 0.750 0.332  0.65
Ni: 0.754 0.250 0.668  0.65
Rb: 0.249 0.250 0.049  0.00
Rb: 0.751 0.750 0.951  0.00


(8)
VASP calculation (PBE) on Rb2CeNi2Se4 after structural relaxation.

Values from the calculation:
space group: C2/m
total magnetization: 1.37 μB per formula unit
theoretical density: 5.182 Mg/m³
raw total energy: -4.7373 eV per atom
uncorrected formation energy: -9.27 eV per formula unit

abc: 4.078 8.197 7.811
angles: 108.22 105.13 90.00
Site moments in Bohr magnetons follow the coordinates.
Sites, in units of the cell vectors:
Se: 0.798 0.839 0.596  0.07
Se: 0.473 0.227 0.946  0.03
Se: 0.527 0.773 0.054  0.03
Se: 0.202 0.161 0.404  0.07
Ni: 0.686 0.992 0.372  0.57
Ni: 0.314 0.008 0.628  0.57
Ce: 0.000 0.000 0.000  -0.14
Rb: 0.865 0.442 0.730  0.00
Rb: 0.135 0.558 0.270  0.00


(9)
VASP calculation (PBE) on Rb4Ce3NiSe8 after structural relaxation.

Values from the calculation:
space group: C2/m
total magnetization: 3.27 μB per formula unit
theoretical density: 4.782 Mg/m³
raw total energy: -4.8010 eV per atom
uncorrected formation energy: -21.49 eV per formula unit

abc: 8.472 9.371 8.598
angles: 117.36 119.52 90.00
Site moments in Bohr magnetons follow the coordinates.
Sites, in units of the cell vectors:
Se: 0.751 0.682 0.964  0.02
Se: 0.237 0.700 0.474  0.02
Se: 0.249 0.318 0.036  0.02
Se: 0.213 0.682 0.964  0.02
Se: 0.763 0.300 0.526  0.02
Se: 0.787 0.318 0.036  0.02
Se: 0.267 0.298 0.535  -0.02
Se: 0.733 0.702 0.465  -0.02
Ce: 0.000 0.500 0.500  0.59
Ce: 0.500 0.500 0.000  0.62
Ce: 0.500 0.500 0.500  0.59
Rb: 0.500 0.000 0.000  0.01
Rb: 0.500 0.000 0.500  0.00
Rb: 0.000 0.000 0.000  0.00
Rb: 0.000 0.000 0.500  0.00
Ni: 0.000 0.500 0.000  1.13


(10)
VASP calculation (PBE) on Rb3Ce2NiSe6 after structural relaxation.

Values from the calculation:
space group: C2/m
total magnetization: 2.74 μB per formula unit
theoretical density: 4.840 Mg/m³
raw total energy: -4.6920 eV per atom
uncorrected formation energy: -14.85 eV per formula unit

abc: 7.289 7.289 8.320
angles: 98.48 98.48 119.77
Site moments in Bohr magnetons follow the coordinates.
Sites, in units of the cell vectors:
Se: 0.374 0.063 0.187  0.04
Se: 0.626 0.937 0.813  0.04
Se: 0.063 0.374 0.187  0.04
Se: 0.252 0.252 0.809  0.04
Se: 0.748 0.748 0.191  0.04
Se: 0.937 0.626 0.813  0.04
Ce: 0.666 0.334 0.000  0.52
Ce: 0.334 0.666 0.000  0.52
Rb: 0.831 0.169 0.500  0.00
Rb: 0.169 0.831 0.500  0.00
Rb: 0.500 0.500 0.500  0.00
Ni: 0.000 0.000 0.000  1.19


(11)
VASP calculation (PBE) on CeZrReNi after structural relaxation.

Values from the calculation:
space group: F-43m
total magnetization: 0.00 μB per formula unit
theoretical density: 10.519 Mg/m³
raw total energy: -8.2891 eV per atom
ΔH_f (0 K): -0.1112 eV per atom

abc: 4.737 4.737 4.737
angles: 60.00 60.00 60.00
Sites, in units of the cell vectors:
Zr: 0.250 0.250 0.250
Ni: 0.000 0.000 0.000
Ce: 0.750 0.750 0.750
Re: 0.500 0.500 0.500


(12)
VASP calculation (PBE) on CeNi4Rh2 after structural relaxation.

Values from the calculation:
space group: I4/mmm
total magnetization: 0.00 μB per formula unit
theoretical density: 9.669 Mg/m³
raw total energy: -6.5448 eV per atom
ΔH_f (0 K): -0.2931 eV per atom

abc: 5.154 5.097 5.097
angles: 75.19 59.66 59.66
Sites, in units of the cell vectors:
Rh: 0.750 0.500 0.500
Rh: 0.250 0.500 0.500
Ni: 0.299 0.402 0.000
Ni: 0.701 0.000 0.598
Ni: 0.299 0.000 0.402
Ni: 0.701 0.598 0.000
Ce: 0.000 0.000 0.000


(13)
VASP calculation (PBE) on CeNi2Rh4 after structural relaxation.

Values from the calculation:
space group: Immm
total magnetization: 2.20 μB per formula unit
theoretical density: 10.312 Mg/m³
raw total energy: -6.9619 eV per atom
ΔH_f (0 K): -0.2616 eV per atom

abc: 5.155 5.246 5.246
angles: 75.94 60.64 60.64
Site moments in Bohr magnetons follow the coordinates.
Sites, in units of the cell vectors:
Ni: 0.750 0.500 0.500  0.53
Ni: 0.250 0.500 0.500  0.53
Rh: 0.293 0.415 0.000  0.34
Rh: 0.293 0.000 0.415  0.34
Rh: 0.707 0.585 0.000  0.34
Rh: 0.707 0.000 0.585  0.34
Ce: 0.000 0.000 0.000  -0.11


(14)
VASP calculation (PBE) on CeNi3Rh after structural relaxation.

Values from the calculation:
space group: Cmmm
total magnetization: 0.00 μB per formula unit
theoretical density: 8.312 Mg/m³
raw total energy: -6.0570 eV per atom
ΔH_f (0 K): 0.0689 eV per atom

abc: 4.905 7.208 4.736
angles: 90.00 90.00 90.00
Sites, in units of the cell vectors:
Rh: 0.000 0.500 0.000
Rh: 0.000 0.000 0.500
Ce: 0.500 0.000 0.000
Ce: 0.500 0.500 0.500
Ni: 0.500 0.500 0.000
Ni: 0.000 0.667 0.500
Ni: 0.500 0.000 0.500
Ni: 0.000 0.333 0.500
Ni: 0.000 0.167 0.000
Ni: 0.000 0.833 0.000


(15)
VASP calculation (PBE) on CeNi6Rh2 after structural relaxation.

Values from the calculation:
space group: Immm
total magnetization: 3.07 μB per formula unit
theoretical density: 9.143 Mg/m³
raw total energy: -6.1486 eV per atom
ΔH_f (0 K): -0.0014 eV per atom

abc: 4.221 6.779 6.779
angles: 43.95 71.86 71.86
Site moments in Bohr magnetons follow the coordinates.
Sites, in units of the cell vectors:
Ni: 0.500 0.273 0.727  0.17
Ni: 0.700 0.054 0.546  0.59
Ni: 0.500 0.727 0.273  0.17
Ni: 0.300 0.454 0.946  0.59
Ni: 0.300 0.946 0.454  0.59
Ni: 0.700 0.546 0.054  0.59
Ce: 0.000 0.000 0.000  -0.14
Rh: 0.117 0.383 0.383  0.35
Rh: 0.883 0.617 0.617  0.35


(16)
VASP calculation (PBE) on Ce2Ni7Rh after structural relaxation.

Values from the calculation:
space group: P-4m2
total magnetization: 0.82 μB per formula unit
theoretical density: 8.737 Mg/m³
raw total energy: -6.1774 eV per atom
ΔH_f (0 K): -0.2086 eV per atom

abc: 3.737 3.737 10.805
angles: 90.00 90.00 90.00
Site moments in Bohr magnetons follow the coordinates.
Sites, in units of the cell vectors:
Ni: 0.500 0.500 0.500  0.11
Ni: 0.000 0.000 0.000  0.24
Ni: 0.500 0.000 0.148  0.15
Ni: 0.000 0.000 0.500  0.12
Ni: 0.000 0.500 0.639  0.08
Ni: 0.000 0.500 0.852  0.15
Ni: 0.500 0.000 0.361  0.08
Rh: 0.500 0.500 0.000  0.22
Ce: 0.500 0.000 0.745  -0.11
Ce: 0.000 0.500 0.255  -0.11


(17)
VASP calculation (PBE) on Ce3Ni7Rh2 after structural relaxation.

Values from the calculation:
space group: R-3m
total magnetization: 0.00 μB per formula unit
theoretical density: 9.407 Mg/m³
raw total energy: -6.5012 eV per atom
ΔH_f (0 K): -0.4200 eV per atom

abc: 4.990 4.990 8.963
angles: 73.84 73.84 60.00
Sites, in units of the cell vectors:
Ni: 0.914 0.414 0.259
Ni: 0.586 0.086 0.741
Ni: 0.414 0.414 0.259
Ni: 0.500 0.500 0.500
Ni: 0.086 0.586 0.741
Ni: 0.414 0.914 0.259
Ni: 0.586 0.586 0.741
Rh: 0.332 0.332 0.005
Rh: 0.668 0.668 0.995
Ce: 0.861 0.861 0.416
Ce: 0.139 0.139 0.584
Ce: 0.000 0.000 0.000


(18)
VASP calculation (PBE) on Ce3NiRh2 after structural relaxation.

Values from the calculation:
space group: C2/c
total magnetization: 1.52 μB per formula unit
theoretical density: 8.523 Mg/m³
raw total energy: -6.8682 eV per atom
ΔH_f (0 K): -0.4872 eV per atom

abc: 6.737 6.491 6.491
angles: 70.12 89.06 89.06
Site moments in Bohr magnetons follow the coordinates.
Sites, in units of the cell vectors:
Ce: 0.750 0.656 0.344  0.66
Ce: 0.503 0.797 0.800  0.33
Ce: 0.003 0.800 0.797  0.33
Ce: 0.250 0.344 0.656  0.66
Ce: 0.497 0.203 0.200  0.33
Ce: 0.997 0.200 0.203  0.33
Rh: 0.243 0.538 0.198  -0.04
Rh: 0.743 0.198 0.538  -0.04
Rh: 0.757 0.462 0.802  -0.04
Rh: 0.257 0.802 0.462  -0.04
Ni: 0.250 0.965 0.035  -0.04
Ni: 0.750 0.035 0.965  -0.04


(19)
VASP calculation (PBE) on CeNiRh4 after structural relaxation.

Values from the calculation:
space group: Pmma
total magnetization: 0.00 μB per formula unit
theoretical density: 10.430 Mg/m³
raw total energy: -7.1135 eV per atom
ΔH_f (0 K): -0.2601 eV per atom

abc: 3.929 6.512 7.597
angles: 90.00 90.00 90.00
Sites, in units of the cell vectors:
Rh: 0.500 0.705 0.459
Rh: 0.500 0.295 0.959
Rh: 0.500 0.295 0.541
Rh: 0.000 0.000 0.000
Rh: 0.500 0.957 0.750
Rh: 0.500 0.705 0.041
Rh: 0.500 0.043 0.250
Rh: 0.000 0.000 0.500
Ni: 0.000 0.753 0.250
Ni: 0.000 0.247 0.750
Ce: 0.000 0.364 0.250
Ce: 0.000 0.636 0.750


(20)
VASP calculation (PBE) on Ce3Ni8Rh after structural relaxation.

Values from the calculation:
space group: R3m
total magnetization: 0.00 μB per formula unit
theoretical density: 9.333 Mg/m³
raw total energy: -6.3332 eV per atom
ΔH_f (0 K): -0.3829 eV per atom

abc: 4.972 4.972 8.736
angles: 73.47 73.47 60.00
Sites, in units of the cell vectors:
Ni: 0.688 0.688 0.935
Ni: 0.938 0.938 0.684
Ni: 0.941 0.436 0.187
Ni: 0.436 0.436 0.187
Ni: 0.436 0.941 0.187
Ni: 0.441 0.938 0.684
Ni: 0.188 0.188 0.437
Ni: 0.938 0.441 0.684
Ce: 0.509 0.509 0.473
Ce: 0.379 0.379 0.864
Ce: 0.987 0.987 0.040
Rh: 0.870 0.870 0.389


(21)
VASP calculation (PBE) on Ce2NiRh after structural relaxation.

Values from the calculation:
space group: P4/mmm
total magnetization: 0.99 μB per formula unit
theoretical density: 8.937 Mg/m³
raw total energy: -6.6944 eV per atom
ΔH_f (0 K): -0.4443 eV per atom

abc: 3.476 3.476 6.796
angles: 90.00 90.00 90.00
Site moments in Bohr magnetons follow the coordinates.
Sites, in units of the cell vectors:
Ce: 0.000 0.000 0.244  0.45
Ce: 0.000 0.000 0.756  0.45
Rh: 0.500 0.500 0.500  -0.07
Ni: 0.500 0.500 0.000  -0.03


(22)
VASP calculation (PBE) on CeNiRh after structural relaxation.

Values from the calculation:
space group: I4mm
total magnetization: 0.00 μB per formula unit
theoretical density: 9.499 Mg/m³
raw total energy: -6.6898 eV per atom
ΔH_f (0 K): -0.3343 eV per atom

abc: 3.507 3.507 4.955
angles: 110.72 110.72 90.00
Sites, in units of the cell vectors:
Ce: 0.619 0.619 0.237
Rh: 0.943 0.943 0.886
Ni: 0.288 0.288 0.577